A plane-wave DFT calculation with PBE-GGA was carried out for Pr5Te2As2 after structural relaxation.

It has space group Cmce (No. 64), with a = 15.826 Å, b = 8.191 Å, c = 8.176 Å, α = 90.00°, β = 90.00° and γ = 90.00°. Symmetry generates all atoms from Pr at (0.000, 0.000, 0.000), Pr at (0.127, 0.158, 0.342), Te at (0.201, 0.000, 0.000) and As at (0.000, 0.146, 0.645).

As for the total DFT energy (no corrections): -0.2082 Ha/atom. As for the total moment: 0.00 μB per cell.

---

A plane-wave DFT calculation with PBE-GGA was carried out for Pr8TeAs6 after structural relaxation.

It has space group P-3 (No. 147), with a = 10.9966 Å, b = 10.9966 Å, c = 4.4630 Å, α = 90.00°, β = 90.00° and γ = 120.00°. Symmetry generates all atoms from Pr at (0.0335, 0.6896, 0.2582), Pr at (0.3333, 0.6667, 0.7477), Te at (0.0000, 0.0000, 0.5000) and As at (0.1350, 0.4778, 0.2434).

As for the total DFT energy (no corrections): -0.2137 Ha/atom. As for the total moment: 0.00 μB per cell.

---

A plane-wave DFT calculation with PBE-GGA was carried out for Pr3TeAs2 after structural relaxation.

It has space group Immm (No. 71), with a = 4.358 Å, b = 6.229 Å, c = 13.198 Å, α = 90.00°, β = 90.00° and γ = 90.00°. Symmetry generates all atoms from Pr at (0.000, 0.000, 0.000), Pr at (0.000, 0.000, 0.319), Te at (0.000, 0.500, 0.000) and As at (0.000, 0.500, 0.337).

Its excess energy over the best structure of this formula in the dataset is 0.00 kJ per mole of atoms. As for the total moment: 0.00 μB per cell.

---

A plane-wave DFT calculation with PBE-GGA was carried out for Pr4TeAs2 after structural relaxation.

It has space group R-3m (No. 166, hexagonal axes), with a = 4.2790 Å, b = 4.2790 Å, c = 42.3725 Å, α = 90.00°, β = 90.00° and γ = 120.00°. Symmetry generates all atoms from Pr at (0.0000, 0.0000, 0.1292), Pr at (0.0000, 0.0000, 0.2838), Te at (0.0000, 0.0000, 0.0000) and As at (0.0000, 0.0000, 0.4225).

As for the total DFT energy (no corrections): -0.2114 Ha/atom. As for the total moment: 4.69 μB per cell.

---

A plane-wave DFT calculation with PBE-GGA was carried out for Pr4TeAs3 after structural relaxation.

It has space group Cmmm (No. 65), with a = 8.758 Å, b = 12.340 Å, c = 4.355 Å, α = 90.00°, β = 90.00° and γ = 90.00°. Symmetry generates all atoms from Pr at (0.000, 0.243, 0.000), Pr at (0.234, 0.000, 0.500), Te at (0.000, 0.500, 0.000), As at (0.000, 0.000, 0.000) and As at (0.250, 0.250, 0.500).

As for the total DFT energy (no corrections): -0.2224 Ha/atom. As for the total moment: 0.00 μB per cell.

---

A plane-wave DFT calculation with PBE-GGA was carried out for PrThTeAs after structural relaxation.

It has space group R3m (No. 160, hexagonal axes), with a = 4.2852 Å, b = 4.2852 Å, c = 22.8086 Å, α = 90.00°, β = 90.00° and γ = 120.00°. Symmetry generates all atoms from Pr at (0.0000, 0.0000, 0.0000), Th at (0.0000, 0.0000, 0.8095), Te at (0.0000, 0.0000, 0.2361) and As at (0.0000, 0.0000, 0.4070).

As for the total DFT energy (no corrections): -0.2348 Ha/atom. As for the total moment: 0.00 μB per cell.

---

A plane-wave DFT calculation with PBE-GGA was carried out for Pr8TlTe4As3 after structural relaxation.

It has space group R-3m (No. 166, hexagonal axes), with a = 8.8662 Å, b = 8.8662 Å, c = 22.0884 Å, α = 90.00°, β = 90.00° and γ = 120.00°. Symmetry generates all atoms from Pr at (0.0000, 0.0000, 0.2404), Pr at (0.0077, 0.5038, 0.7563), Tl at (0.0000, 0.0000, 0.5000), Te at (0.0000, 0.0000, 0.0000), Te at (0.0000, 0.5000, 0.0000) and As at (0.0000, 0.5000, 0.5000).

As for the total DFT energy (no corrections): -0.2046 Ha/atom. As for the total moment: 0.00 μB per cell.

---

A plane-wave DFT calculation with PBE-GGA was carried out for Pr4TlTe2As after structural relaxation.

It has space group P2/m (No. 10), with a = 7.824 Å, b = 4.411 Å, c = 7.838 Å, α = 90.00°, β = 108.67° and γ = 90.00°. Symmetry generates all atoms from Pr at (0.234, 0.000, 0.229), Pr at (0.244, 0.500, 0.758), Tl at (0.500, 0.000, 0.000), Te at (0.000, 0.000, 0.500), Te at (0.500, 0.500, 0.500) and As at (0.000, 0.500, 0.000).

As for the total DFT energy (no corrections): -0.1931 Ha/atom. As for the total moment: 0.00 μB per cell.

---

A plane-wave DFT calculation with PBE-GGA was carried out for PrTmTeAs after structural relaxation.

It has space group R3m (No. 160, hexagonal axes), with a = 4.1919 Å, b = 4.1919 Å, c = 22.4666 Å, α = 90.00°, β = 90.00° and γ = 120.00°. Symmetry generates all atoms from Pr at (0.0000, 0.0000, 0.0000), Tm at (0.0000, 0.0000, 0.1893), Te at (0.0000, 0.0000, 0.4319) and As at (0.0000, 0.0000, 0.5909).

As for the total DFT energy (no corrections): -0.2089 Ha/atom. As for the total moment: 0.00 μB per cell.

---

A plane-wave DFT calculation with PBE-GGA was carried out for PrYTeAs after structural relaxation.

It has space group R3m (No. 160, hexagonal axes), with a = 4.2840 Å, b = 4.2840 Å, c = 21.7747 Å, α = 90.00°, β = 90.00° and γ = 120.00°. Symmetry generates all atoms from Pr at (0.0000, 0.0000, 0.0000), Y at (0.0000, 0.0000, 0.5204), Te at (0.0000, 0.0000, 0.7640) and As at (0.0000, 0.0000, 0.2559).

As for the total DFT energy (no corrections): -0.2310 Ha/atom. As for the total moment: 0.00 μB per cell.

---

A plane-wave DFT calculation with PBE-GGA was carried out for Pr8ZnTe4As3 after structural relaxation.

It has space group R-3m (No. 166, hexagonal axes), with a = 8.7882 Å, b = 8.7882 Å, c = 22.0086 Å, α = 90.00°, β = 90.00° and γ = 120.00°. Symmetry generates all atoms from Pr at (0.0000, 0.0000, 0.2401), Pr at (0.0023, 0.5012, 0.7572), Zn at (0.0000, 0.0000, 0.5000), Te at (0.0000, 0.0000, 0.0000), Te at (0.0000, 0.5000, 0.0000) and As at (0.0000, 0.5000, 0.5000).

As for the total DFT energy (no corrections): -0.2016 Ha/atom. As for the total moment: 0.00 μB per cell.

---

A plane-wave DFT calculation with PBE-GGA was carried out for Pr3ThAs4 after structural relaxation.

It has space group Pm-3m (No. 221), with a = 6.070 Å, b = 6.070 Å, c = 6.070 Å, α = 90.00°, β = 90.00° and γ = 90.00°. Symmetry generates all atoms from Pr at (0.000, 0.000, 0.500), Th at (0.500, 0.500, 0.500), As at (0.000, 0.000, 0.000) and As at (0.000, 0.500, 0.500).

As for the formation energy: -1.4877 eV/atom. Its excess energy over the best structure of this formula in the dataset is 1.55 kJ per mole of atoms. As for the total moment: 0.00 μB per cell.